(1)
A relaxed KAg2I2 crystal. Source: Alexandria, functional PBE.

## Properties
The energy above the most stable polymorph in this dataset comes out at 0.0 kJ per mole of atoms. For the uncorrected formation energy, the calculation gives -362 meV per atom. The space group is No. 139.

Lattice parameters (Å, degrees): 4.2374 4.2374 9.4004 76.97 76.97 90.00
Closest atoms and distances in Å follow each position.
Positions (direct):
Ag 0.2500 0.7500 0.5000  4 Ag 3.00, 4 I 3.24
Ag 0.7500 0.2500 0.5000  4 Ag 3.00, 4 I 3.24
I 0.6125 0.6125 0.7749  4 Ag 3.24, 4 K 3.61
I 0.3875 0.3875 0.2251  4 Ag 3.24, 4 K 3.61
K 0.0000 0.0000 0.0000  8 I 3.61

(2)
A relaxed K4AgI3 crystal. Source: Alexandria, functional PBE.

## Properties
For the uncorrected formation energy, the calculation gives -1070 meV per atom. The space group is No. 65.

Lattice parameters (Å, degrees): 5.0451 8.7535 8.7535 109.45 90.00 90.00
Closest atoms and distances in Å follow each position.
Positions (direct):
K 0.5000 0.7505 0.2495  1 Ag 3.57, 5 I 3.57-3.58
K 0.5000 0.2495 0.7505  1 Ag 3.57, 5 I 3.57-3.58
K 0.0000 0.7503 0.7503  2 Ag 3.57, 4 I 3.57
K 0.0000 0.2497 0.2497  2 Ag 3.57, 4 I 3.57
I 0.0000 0.0000 0.5000  6 K 3.57
I 0.0000 0.5000 0.0000  6 K 3.57
I 0.5000 0.5000 0.5000  6 K 3.57-3.58
Ag 0.5000 0.0000 0.0000  6 K 3.57

(3)
A relaxed K5AgI6 crystal. Source: Alexandria, functional PBE.

## Properties
For the uncorrected formation energy, the calculation gives -1239 meV per atom. The space group is No. 12.

Lattice parameters (Å, degrees): 8.5657 8.5760 8.6647 60.34 81.00 71.58
Closest atoms and distances in Å follow each position.
Positions (direct):
I 0.7968 0.7920 0.0000  1 Ag 2.86
I 0.7470 0.4151 0.6755  5 K 3.48-3.57, 1 Ag 3.52
I 0.2530 0.9095 0.6755  5 K 3.48-3.57, 1 Ag 3.52
I 0.7470 0.0905 0.3245  5 K 3.48-3.57, 1 Ag 3.52
I 0.2530 0.5849 0.3245  5 K 3.48-3.57, 1 Ag 3.52
I 0.2032 0.2080 0.0000  1 Ag 2.86
K 0.5000 0.1667 0.6665  6 I 3.48-3.62
K 0.5000 0.8333 0.3335  6 I 3.48-3.62
K 0.0000 0.3279 0.3442  6 I 3.48-3.64
K 0.5000 0.5000 0.0000  4 I 3.48
K 0.0000 0.6721 0.6558  6 I 3.48-3.64
Ag 0.0000 0.0000 0.0000  2 I 2.86

(4)
A relaxed KLa2AgI8 crystal. Source: Alexandria, functional PBE.

## Properties
For the uncorrected formation energy, the calculation gives -1253 meV per atom. The space group is No. 10.

Lattice parameters (Å, degrees): 7.8672 7.5334 9.6386 90.01 89.97 83.93
Closest atoms and distances in Å follow each position.
Positions (direct):
La 0.5001 0.5003 0.7582  6 I 3.14-3.25
La 0.4999 0.4997 0.2418  6 I 3.14-3.25
I 0.1592 0.7557 0.2196  1 Ag 2.99, 1 La 3.14
I 0.3603 0.2799 0.5002  2 La 3.25
I 0.6397 0.7201 0.4998  2 La 3.25
I 0.3530 0.2678 0.9998  2 La 3.20
I 0.6470 0.7322 0.0002  2 La 3.20
I 0.8408 0.2443 0.7804  1 Ag 2.99, 1 La 3.14
I 0.1593 0.7563 0.7806  1 Ag 2.99, 1 La 3.14
I 0.8407 0.2437 0.2194  1 Ag 2.99, 1 La 3.14
K 0.0000 0.0000 0.5000  6 I 3.43-3.71
Ag 0.0000 0.0000 0.0000  4 I 2.99

(5)
A relaxed KLaAgI5 crystal. Source: Alexandria, functional PBE.

## Properties
For the uncorrected formation energy, the calculation gives -1172 meV per atom. The space group is No. 15.

Lattice parameters (Å, degrees): 8.5910 8.5910 11.7325 103.07 103.07 107.77
Closest atoms and distances in Å follow each position.
Positions (direct):
Ag 0.6871 0.3129 0.2500  4 I 2.84-2.88
Ag 0.3129 0.6871 0.7500  4 I 2.84-2.88
I 0.3839 0.2543 0.0542  1 Ag 2.88, 1 La 3.18
I 0.9058 0.0942 0.7500  2 La 3.21
I 0.3317 0.9309 0.6201  1 Ag 2.84, 1 La 3.17
I 0.6683 0.0691 0.3799  1 Ag 2.84, 1 La 3.17
I 0.7457 0.6161 0.4458  1 Ag 2.88, 1 La 3.18
I 0.9309 0.3317 0.1201  1 Ag 2.84, 1 La 3.17
I 0.0942 0.9058 0.2500  2 La 3.21
I 0.6161 0.7457 0.9458  1 Ag 2.88, 1 La 3.18
I 0.0691 0.6683 0.8799  1 Ag 2.84, 1 La 3.17
I 0.2543 0.3839 0.5542  1 Ag 2.88, 1 La 3.18
La 0.0000 0.0000 0.5000  6 I 3.17-3.21
La 0.0000 0.0000 0.0000  6 I 3.17-3.21
K 0.6358 0.3642 0.7500  5 I 3.56-3.75
K 0.3642 0.6358 0.2500  5 I 3.56-3.75

(6)
A relaxed K2LaAgI6 crystal. Source: Alexandria, functional PBE.

## Properties
For the uncorrected formation energy, the calculation gives -1231 meV per atom. The space group is No. 14.

Lattice parameters (Å, degrees): 8.2391 8.7856 11.7616 90.00 90.55 90.00
Closest atoms and distances in Å follow each position.
Positions (direct):
I 0.6141 0.0273 0.2586  1 Ag 3.01, 1 La 3.18
I 0.8859 0.5273 0.2414  1 Ag 3.01, 1 La 3.18
I 0.1895 0.1930 0.4459  1 Ag 3.13, 1 La 3.18
I 0.8105 0.8070 0.5541  1 Ag 3.13, 1 La 3.18
I 0.1874 0.1947 0.0576  1 Ag 3.17, 1 La 3.17
I 0.3126 0.6947 0.4424  1 Ag 3.17, 1 La 3.17
I 0.6874 0.3053 0.5576  1 Ag 3.17, 1 La 3.17
I 0.3105 0.6930 0.0541  1 Ag 3.13, 1 La 3.18
I 0.3859 0.9727 0.7414  1 Ag 3.01, 1 La 3.18
I 0.8126 0.8053 0.9424  1 Ag 3.17, 1 La 3.17
I 0.1141 0.4727 0.7586  1 Ag 3.01, 1 La 3.18
I 0.6895 0.3070 0.9459  1 Ag 3.13, 1 La 3.18
La 0.0000 0.5000 0.5000  6 I 3.17-3.18
La 0.5000 0.0000 0.0000  6 I 3.17-3.18
K 0.0323 0.9112 0.2467  6 I 3.58-3.76
K 0.4677 0.4112 0.2533  6 I 3.58-3.76
K 0.5323 0.5888 0.7467  6 I 3.58-3.76
K 0.9677 0.0888 0.7533  6 I 3.58-3.76
Ag 0.5000 0.0000 0.5000  6 I 3.01-3.17
Ag 0.0000 0.5000 0.0000  6 I 3.01-3.17